DFT (PBE) results for a relaxed structure of TaGa3Fe.

Cell: 4.429 4.429 4.429 Å, 90.00 90.00 90.00°
Last column: magnetic moment on the atom in μB.
Atoms (fractional coordinates):
Fe: 0.000 0.000 0.000  -0.19
Ga: 0.000 0.500 0.000  0.01
Ga: 0.000 0.000 0.500  0.01
Ga: 0.500 0.000 0.000  0.01
Ta: 0.500 0.500 0.500  0.01

Summary:
Energy of formation from the pure elements   312 kJ/mol of formula units
Final energy   -5.232 eV per atom
Total moment   0.02 μB/atom

DFT (PBE) results for a relaxed structure of Sn2Pb4Au.

Cell: 5.601 5.601 8.664 Å, 71.14 71.14 90.00°
Atoms (fractional coordinates):
Au: 0.000 0.000 0.000
Pb: 0.500 0.000 0.000
Pb: 0.188 0.188 0.624
Pb: 0.000 0.500 0.000
Pb: 0.812 0.812 0.376
Sn: 0.614 0.614 0.772
Sn: 0.386 0.386 0.228

Summary:
Energy of formation from the pure elements   181 kJ/mol of formula units
Final energy   -3.463 eV per atom
Total moment   0.00 μB/atom